The following is a DFT calculation (PBE) of a relaxed structure of Cu3Sb4O6F6.

The calculation puts the magnetization at 3.02 μB per cell. Its symmetry is I-43m, No. 217. The calculation puts the uncorrected formation energy at -1.4557 eV/atom. For the electronic total energy, the calculation gives -5.13 eV per atom.

Unit cell a=7.100 b=7.100 c=7.100 alpha=109.47 beta=109.47 gamma=109.47
Element x y z (fractional)
1 Cu 0.000 0.500 0.500
2 Cu 0.500 0.000 0.500
3 Cu 0.500 0.500 0.000
4 Sb 0.000 0.000 0.326
5 Sb 0.000 0.326 0.000
6 Sb 0.326 0.000 0.000
7 Sb 0.674 0.674 0.674
8 O 0.000 0.253 0.253
9 O 0.000 0.747 0.747
10 O 0.253 0.000 0.253
11 O 0.253 0.253 0.000
12 O 0.747 0.000 0.747
13 O 0.747 0.747 0.000
14 F 0.250 0.500 0.750
15 F 0.250 0.750 0.500
16 F 0.500 0.250 0.750
17 F 0.500 0.750 0.250
18 F 0.750 0.250 0.500
19 F 0.750 0.500 0.250


The following is a DFT calculation (PBE) of a relaxed structure of SrCd9Rh3.

Its formation energy is -204 meV/atom. The calculation puts the magnetization at 0.00 μB per cell. Its symmetry is C2/m, No. 12. For the electronic total energy, the calculation gives -2.66 eV per atom.

Unit cell a=7.414 b=7.414 c=7.450 alpha=98.68 beta=98.68 gamma=133.85
Element x y z (fractional)
1 Sr 0.000 0.000 0.000
2 Cd 0.024 0.676 0.672
3 Cd 0.272 0.498 0.782
4 Cd 0.324 0.976 0.328
5 Cd 0.498 0.272 0.782
6 Cd 0.500 0.500 0.500
7 Cd 0.502 0.728 0.218
8 Cd 0.676 0.024 0.672
9 Cd 0.728 0.502 0.218
10 Cd 0.976 0.324 0.328
11 Rh 0.000 0.000 0.500
12 Rh 0.000 0.500 0.000
13 Rh 0.500 0.000 0.000


The following is a DFT calculation (PBE) of a relaxed structure of La4MnRh.

Its formation energy is 716 meV/atom. The calculation puts the magnetization at 2.95 μB per cell. Its symmetry is F-43m, No. 216. For the electronic total energy, the calculation gives -5.32 eV per atom.

Unit cell a=6.264 b=6.264 c=6.264 alpha=60.00 beta=60.00 gamma=60.00
Element x y z (fractional)
1 La 0.376 0.376 0.376
2 La 0.376 0.376 0.873
3 La 0.376 0.873 0.376
4 La 0.873 0.376 0.376
5 Mn 0.000 0.000 0.000
6 Rh 0.750 0.750 0.750


The following is a DFT calculation (PBE) of a relaxed structure of NaMnAl2C.

Its formation energy is 506 meV/atom. The calculation puts the magnetization at 0.00 μB per cell. Its symmetry is P4/mmm, No. 123. For the electronic total energy, the calculation gives -4.93 eV per atom.

Unit cell a=4.625 b=4.625 c=3.816 alpha=90.00 beta=90.00 gamma=90.00
Element x y z (fractional)
1 Na 0.000 0.000 0.000
2 Mn 0.500 0.500 0.500
3 Al 0.000 0.500 0.500
4 Al 0.500 0.000 0.500
5 C 0.500 0.500 0.000


The following is a DFT calculation (PBE) of a relaxed structure of NaCdB2F8.

The calculation puts the magnetization at 0.96 μB per cell. Its symmetry is R-3m, No. 166. The calculation puts the uncorrected formation energy at -2.6191 eV/atom. For the electronic total energy, the calculation gives -5.17 eV per atom.

Unit cell a=7.045 b=7.045 c=7.045 alpha=44.85 beta=44.85 gamma=44.85
Element x y z (fractional)
1 Na 0.000 0.000 0.000
2 Cd 0.500 0.500 0.500
3 B 0.271 0.271 0.271
4 B 0.729 0.729 0.729
5 F 0.102 0.102 0.534
6 F 0.102 0.534 0.102
7 F 0.345 0.345 0.345
8 F 0.466 0.898 0.898
9 F 0.534 0.102 0.102
10 F 0.655 0.655 0.655
11 F 0.898 0.466 0.898
12 F 0.898 0.898 0.466


The following is a DFT calculation (PBE) of a relaxed structure of Li2RePd.

As for the distance to the lowest polymorph of the same formula: 0.6332 eV/atom. Its formation energy is 721 meV/atom. The calculation puts the magnetization at 0.00 μB per cell. Its symmetry is I-42d, No. 122. For the electronic total energy, the calculation gives -4.65 eV per atom.

Unit cell a=5.364 b=5.364 c=5.364 alpha=102.91 beta=102.91 gamma=123.59
Element x y z (fractional)
1 Li 0.109 0.625 0.984
2 Li 0.375 0.359 0.484
3 Li 0.641 0.125 0.016
4 Li 0.875 0.891 0.516
5 Re 0.250 0.750 0.500
6 Re 0.500 0.500 0.000
7 Pd 0.000 0.000 0.000
8 Pd 0.750 0.250 0.500


The following is a DFT calculation (PBE) of a relaxed structure of LuGa2Ni.

Its formation energy is -527 meV/atom. The calculation puts the magnetization at 0.00 μB per cell. Its symmetry is R-3m, No. 166. For the electronic total energy, the calculation gives -4.62 eV per atom.

Unit cell a=5.427 b=5.427 c=5.427 alpha=44.09 beta=44.09 gamma=44.09
Element x y z (fractional)
1 Lu 0.000 0.000 0.000
2 Ga 0.215 0.215 0.215
3 Ga 0.785 0.785 0.785
4 Ni 0.500 0.500 0.500


The following is a DFT calculation (PBE) of a relaxed structure of UCd2.

Its formation energy is 332 meV/atom. The calculation puts the magnetization at 6.54 μB per cell. Its symmetry is Fd-3m, No. 227. For the electronic total energy, the calculation gives -4.04 eV per atom.

Unit cell a=5.856 b=5.856 c=5.856 alpha=60.00 beta=60.00 gamma=60.00
Element x y z (fractional)
1 U 0.125 0.125 0.125
2 U 0.875 0.875 0.875
3 Cd 0.000 0.500 0.500
4 Cd 0.500 0.000 0.500
5 Cd 0.500 0.500 0.000
6 Cd 0.500 0.500 0.500


The following is a DFT calculation (PBE) of a relaxed structure of Eu2PPd.

As for the distance to the lowest polymorph of the same formula: 0.0182 eV/atom. Its formation energy is -809 meV/atom. The calculation puts the magnetization at 13.56 μB per cell. Its symmetry is P4/mmm, No. 123. For the electronic total energy, the calculation gives -8.60 eV per atom.

Unit cell a=4.995 b=4.995 c=3.725 alpha=90.00 beta=90.00 gamma=90.00
Element x y z (fractional)
1 Eu 0.000 0.500 0.000
2 Eu 0.500 0.000 0.000
3 P 0.000 0.000 0.500
4 Pd 0.500 0.500 0.500


The following is a DFT calculation (PBE) of a relaxed structure of Ce2LuHg.

As for the distance to the lowest polymorph of the same formula: 0.0000 eV/atom. Its formation energy is -123 meV/atom. The calculation puts the magnetization at 1.38 μB per cell. Its symmetry is P4/mmm, No. 123. For the electronic total energy, the calculation gives -4.30 eV per atom.

Unit cell a=4.426 b=4.426 c=5.310 alpha=90.00 beta=90.00 gamma=90.00
Element x y z (fractional)
1 Ce 0.000 0.500 0.000
2 Ce 0.500 0.000 0.000
3 Lu 0.000 0.000 0.500
4 Hg 0.500 0.500 0.500


The following is a DFT calculation (PBE) of a relaxed structure of ZnSiCl2.

As for the distance to the lowest polymorph of the same formula: 0.1715 eV/atom. The calculation puts the magnetization at 0.00 μB per cell. Its symmetry is Immm, No. 71. The calculation puts the uncorrected formation energy at -0.1486 eV/atom. For the electronic total energy, the calculation gives -2.75 eV per atom.

Unit cell a=7.758 b=7.758 c=7.758 alpha=155.52 beta=147.79 gamma=40.86
Element x y z (fractional)
1 Zn 0.000 0.000 0.000
2 Si 0.500 0.500 0.000
3 Cl 0.363 0.863 0.500
4 Cl 0.637 0.137 0.500


The following is a DFT calculation (PBE) of a relaxed structure of RbSn3As3.

As for the distance to the lowest polymorph of the same formula: 0.1233 eV/atom. Its formation energy is -141 meV/atom. The calculation puts the magnetization at 0.00 μB per cell. Its symmetry is R-3, No. 148. For the electronic total energy, the calculation gives -3.99 eV per atom.

Unit cell a=9.299 b=9.299 c=9.299 alpha=54.60 beta=54.60 gamma=54.60
Element x y z (fractional)
1 Rb 0.167 0.167 0.167
2 Rb 0.833 0.833 0.833
3 Sn 0.054 0.376 0.708
4 Sn 0.292 0.946 0.624
5 Sn 0.376 0.708 0.054
6 Sn 0.624 0.292 0.946
7 Sn 0.708 0.054 0.376
8 Sn 0.946 0.624 0.292
9 As 0.065 0.739 0.404
10 As 0.261 0.596 0.935
11 As 0.404 0.065 0.739
12 As 0.596 0.935 0.261
13 As 0.739 0.404 0.065
14 As 0.935 0.261 0.596


The following is a DFT calculation (PBE) of a relaxed structure of Nd2PdAu6.

Its formation energy is -543 meV/atom. The calculation puts the magnetization at 0.00 μB per cell. Its symmetry is P-3m1, No. 164. For the electronic total energy, the calculation gives -4.36 eV per atom.

Unit cell a=6.193 b=6.193 c=5.854 alpha=90.00 beta=90.00 gamma=120.00
Element x y z (fractional)
1 Nd 0.333 0.667 0.343
2 Nd 0.667 0.333 0.657
3 Pd 0.000 0.000 0.500
4 Au 0.181 0.361 0.820
5 Au 0.181 0.819 0.820
6 Au 0.361 0.181 0.180
7 Au 0.639 0.819 0.820
8 Au 0.819 0.181 0.180
9 Au 0.819 0.639 0.180


The following is a DFT calculation (PBE) of a relaxed structure of ZnInGePb.

Its formation energy is 177 meV/atom. The calculation puts the magnetization at 0.00 μB per cell. Its symmetry is F-43m, No. 216. For the electronic total energy, the calculation gives -2.91 eV per atom.

Unit cell a=5.124 b=5.124 c=5.124 alpha=60.00 beta=60.00 gamma=60.00
Element x y z (fractional)
1 Zn 0.000 0.000 0.000
2 In 0.250 0.250 0.250
3 Ge 0.500 0.500 0.500
4 Pb 0.750 0.750 0.750


The following is a DFT calculation (PBE) of a relaxed structure of PRhW.

Its formation energy is 41 meV/atom. The calculation puts the magnetization at 0.00 μB per cell. Its symmetry is Imm2, No. 44. For the electronic total energy, the calculation gives -8.53 eV per atom.

Unit cell a=4.546 b=4.546 c=4.546 alpha=143.67 beta=128.61 gamma=64.56
Element x y z (fractional)
1 P 0.000 0.000 0.000
2 Rh 0.327 0.327 0.000
3 W 0.670 0.670 0.000


The following is a DFT calculation (PBE) of a relaxed structure of Pm2Ga2Hg.

Its formation energy is -562 meV/atom. The calculation puts the magnetization at 0.84 μB per cell. Its symmetry is C2/m, No. 12. For the electronic total energy, the calculation gives -3.73 eV per atom.

Unit cell a=6.027 b=6.027 c=10.860 alpha=115.47 beta=115.47 gamma=44.65
Element x y z (fractional)
1 Pm 0.007 0.007 0.324
2 Pm 0.182 0.182 0.097
3 Pm 0.818 0.818 0.903
4 Pm 0.993 0.993 0.676
5 Ga 0.369 0.369 0.436
6 Ga 0.472 0.472 0.108
7 Ga 0.528 0.528 0.892
8 Ga 0.631 0.631 0.564
9 Hg 0.278 0.278 0.655
10 Hg 0.722 0.722 0.345


The following is a DFT calculation (PBE) of a relaxed structure of TmZnGa4.

As for the distance to the lowest polymorph of the same formula: 0.0000 eV/atom. Its formation energy is -302 meV/atom. The calculation puts the magnetization at 0.00 μB per cell. Its symmetry is C2/m, No. 12. For the electronic total energy, the calculation gives -3.28 eV per atom.

Unit cell a=5.604 b=5.604 c=6.208 alpha=123.33 beta=123.33 gamma=45.20
Element x y z (fractional)
1 Tm 0.000 0.000 0.000
2 Zn 0.000 0.000 0.500
3 Ga 0.336 0.336 0.108
4 Ga 0.336 0.336 0.565
5 Ga 0.664 0.664 0.435
6 Ga 0.664 0.664 0.892


The following is a DFT calculation (PBE) of a relaxed structure of AcEuGaPt.

Its formation energy is -670 meV/atom. The calculation puts the magnetization at 6.99 μB per cell. Its symmetry is F-43m, No. 216. For the electronic total energy, the calculation gives -6.53 eV per atom.

Unit cell a=5.325 b=5.325 c=5.325 alpha=60.00 beta=60.00 gamma=60.00
Element x y z (fractional)
1 Ac 0.000 0.000 0.000
2 Eu 0.500 0.500 0.500
3 Ga 0.750 0.750 0.750
4 Pt 0.250 0.250 0.250


The following is a DFT calculation (PBE) of a relaxed structure of LaHo3Tl2.

As for the distance to the lowest polymorph of the same formula: 0.0784 eV/atom. Its formation energy is -187 meV/atom. The calculation puts the magnetization at 0.69 μB per cell. Its symmetry is C2/m, No. 12. For the electronic total energy, the calculation gives -4.09 eV per atom.

Unit cell a=8.711 b=8.711 c=9.320 alpha=117.41 beta=117.41 gamma=36.27
Element x y z (fractional)
1 La 0.132 0.132 0.175
2 La 0.868 0.868 0.825
3 Ho 0.062 0.062 0.714
4 Ho 0.306 0.306 0.011
5 Ho 0.385 0.385 0.462
6 Ho 0.615 0.615 0.538
7 Ho 0.694 0.694 0.989
8 Ho 0.938 0.938 0.286
9 Tl 0.222 0.222 0.597
10 Tl 0.485 0.485 0.829
11 Tl 0.515 0.515 0.171
12 Tl 0.778 0.778 0.403


The following is a DFT calculation (PBE) of a relaxed structure of ZrZn2Fe.

Its formation energy is -75 meV/atom. The calculation puts the magnetization at 1.47 μB per cell. Its symmetry is I4/mmm, No. 139. For the electronic total energy, the calculation gives -4.96 eV per atom.

Unit cell a=4.760 b=4.760 c=4.760 alpha=129.83 beta=129.83 gamma=73.68
Element x y z (fractional)
1 Zr 0.000 0.000 0.000
2 Zn 0.250 0.750 0.500
3 Zn 0.750 0.250 0.500
4 Fe 0.500 0.500 0.000


The following is a DFT calculation (PBE) of a relaxed structure of Rb2SiAgN.

The calculation puts the magnetization at 0.00 μB per cell. Its symmetry is P4/mmm, No. 123. The calculation puts the uncorrected formation energy at 0.1823 eV/atom. For the electronic total energy, the calculation gives -3.52 eV per atom.

Unit cell a=6.400 b=6.400 c=3.543 alpha=90.00 beta=90.00 gamma=90.00
Element x y z (fractional)
1 Rb 0.000 0.500 0.000
2 Rb 0.500 0.000 0.000
3 Si 0.000 0.000 0.500
4 Ag 0.500 0.500 0.500
5 N 0.000 0.000 0.000


The following is a DFT calculation (PBE) of a relaxed structure of YNpIrAu.

Its formation energy is -383 meV/atom. The calculation puts the magnetization at 4.18 μB per cell. Its symmetry is F-43m, No. 216. For the electronic total energy, the calculation gives -8.27 eV per atom.

Unit cell a=4.980 b=4.980 c=4.980 alpha=60.00 beta=60.00 gamma=60.00
Element x y z (fractional)
1 Y 0.000 0.000 0.000
2 Np 0.500 0.500 0.500
3 Ir 0.250 0.250 0.250
4 Au 0.750 0.750 0.750


The following is a DFT calculation (PBE) of a relaxed structure of Y4TmGa4.

Its formation energy is -398 meV/atom. The calculation puts the magnetization at 0.00 μB per cell. Its symmetry is P4_2/n, No. 86. For the electronic total energy, the calculation gives -5.11 eV per atom.

Unit cell a=8.969 b=8.969 c=5.994 alpha=90.00 beta=90.00 gamma=90.00
Element x y z (fractional)
1 Y 0.061 0.662 0.130
2 Y 0.162 0.939 0.630
3 Y 0.338 0.561 0.630
4 Y 0.439 0.838 0.130
5 Y 0.561 0.162 0.870
6 Y 0.662 0.439 0.370
7 Y 0.838 0.061 0.370
8 Y 0.939 0.338 0.870
9 Tm 0.250 0.250 0.250
10 Tm 0.750 0.750 0.750
11 Ga 0.019 0.622 0.615
12 Ga 0.122 0.981 0.115
13 Ga 0.378 0.519 0.115
14 Ga 0.481 0.878 0.615
15 Ga 0.519 0.122 0.385
16 Ga 0.622 0.481 0.885
17 Ga 0.878 0.019 0.885
18 Ga 0.981 0.378 0.385


The following is a DFT calculation (PBE) of a relaxed structure of LiBi2TeI.

The calculation puts the magnetization at 0.00 μB per cell. Its symmetry is P4/mmm, No. 123. The calculation puts the uncorrected formation energy at 0.1813 eV/atom. For the electronic total energy, the calculation gives -2.69 eV per atom.

Unit cell a=5.512 b=5.512 c=4.929 alpha=90.00 beta=90.00 gamma=90.00
Element x y z (fractional)
1 Li 0.000 0.000 0.000
2 Bi 0.000 0.500 0.000
3 Bi 0.500 0.000 0.000
4 Te 0.000 0.000 0.500
5 I 0.500 0.500 0.500


The following is a DFT calculation (PBE) of a relaxed structure of Ca3Tm2Cd3.

Its formation energy is -235 meV/atom. The calculation puts the magnetization at 0.00 μB per cell. Its symmetry is Immm, No. 71. For the electronic total energy, the calculation gives -2.45 eV per atom.

Unit cell a=11.772 b=11.772 c=11.772 alpha=161.72 beta=153.06 gamma=32.75
Element x y z (fractional)
1 Ca 0.000 0.000 0.000
2 Ca 0.377 0.877 0.500
3 Ca 0.623 0.123 0.500
4 Tm 0.233 0.233 0.000
5 Tm 0.767 0.767 0.000
6 Cd 0.122 0.622 0.500
7 Cd 0.500 0.500 0.000
8 Cd 0.878 0.378 0.500


Sequential D(E_F) output: 4.986 5.842 10.485 0.880 1.630 5.370 2.940 16.585 17.609 9.833 0.873 4.862 4.625 1.342 2.253 6.735 2.057 6.206 13.074 2.759 1.999 10.624 12.407 4.762 7.970 states/eV per cell